Entry from the Alexandria database: an optimized crystal structure of SrPN2 (GGA-PBE).

Summary:
Formation energy from raw total energies, kcal/mol of atoms: -7.317
Volume, Å³ per cell: 168.9
Energy relative to the lowest polymorph listed for this composition, meV per atom: 60.6

a b c (Å): 6.1462 6.1462 4.4703
angles (deg): 90.00 90.00 90.48
Positions (direct):
Sr1 0.0000 0.5000 0.0000
Sr2 0.5000 0.0000 0.5000
P1 0.0000 0.0000 0.2500
P2 0.0000 0.0000 0.7500
N1 0.0002 0.2014 0.5000
N2 0.9998 0.7986 0.5000
N3 0.2014 0.0002 0.0000
N4 0.7986 0.9998 0.0000

Entry from the Alexandria database: an optimized crystal structure of SrReWC (GGA-PBE).

Summary:
ΔH_f (0 K), meV per atom: 480
Volume, Å³ per cell: 77.7
Energy relative to the lowest polymorph listed for this composition, meV per atom: 0.0

a b c (Å): 6.6023 6.6023 6.6023
angles (deg): 152.20 144.51 45.67
Positions (direct):
Sr1 0.0000 0.0000 0.0000
Re1 0.7042 0.7042 0.0000
W1 0.2866 0.2866 0.0000
C1 0.1774 0.6774 0.5000

Entry from the Alexandria database: an optimized crystal structure of Ba3CoCl (GGA-PBE).

Summary:
Formation energy from raw total energies, kcal/mol of atoms: -5.135
Volume, Å³ per cell: 206.8

a b c (Å): 5.9135 5.9135 5.9135
angles (deg): 90.00 90.00 90.00
Positions (direct):
Ba1 0.0000 0.0000 0.5000
Ba2 0.0000 0.5000 0.0000
Ba3 0.5000 0.0000 0.0000
Co1 0.0000 0.0000 0.0000
Cl1 0.5000 0.5000 0.5000

Entry from the Alexandria database: an optimized crystal structure of Tb2HoTeO8 (GGA-PBE).

Summary:
Formation energy from raw total energies, kcal/mol of atoms: -57.842
Volume, Å³ per cell: 175.5

a b c (Å): 5.0565 5.0565 6.8669
angles (deg): 90.00 90.00 90.96
Positions (direct):
Tb1 0.0000 0.0000 0.2492
Tb2 0.0000 0.0000 0.7508
Ho1 0.5000 0.5000 0.5000
Te1 0.5000 0.5000 0.0000
O1 0.1932 0.1932 0.5000
O2 0.2261 0.2261 0.0000
O3 0.3186 0.6814 0.2129
O4 0.3186 0.6814 0.7871
O5 0.6814 0.3186 0.2129
O6 0.6814 0.3186 0.7871
O7 0.7739 0.7739 0.0000
O8 0.8068 0.8068 0.5000

Entry from the Alexandria database: an optimized crystal structure of Ta2CdIn2 (GGA-PBE).

Summary:
ΔH_f (0 K), meV per atom: 410
Volume, Å³ per cell: 220.2
Energy relative to the lowest polymorph listed for this composition, meV per atom: 0.0

a b c (Å): 8.4669 8.4669 3.0712
angles (deg): 90.00 90.00 90.00
Positions (direct):
Ta1 0.1127 0.3873 0.0000
Ta2 0.3873 0.8873 0.0000
Ta3 0.6127 0.1127 0.0000
Ta4 0.8873 0.6127 0.0000
Cd1 0.0000 0.0000 0.0000
Cd2 0.5000 0.5000 0.0000
In1 0.1824 0.6824 0.5000
In2 0.3176 0.1824 0.5000
In3 0.6824 0.8176 0.5000
In4 0.8176 0.3176 0.5000

Entry from the Alexandria database: an optimized crystal structure of Pm6As2CS3 (GGA-PBE).

Summary:
Formation energy from raw total energies, kcal/mol of atoms: -36.254
Volume, Å³ per cell: 287.6

a b c (Å): 9.1238 9.1238 8.2082
angles (deg): 102.82 102.82 25.61
Positions (direct):
Pm1 0.0008 0.0008 0.2809
Pm2 0.3363 0.3363 0.9152
Pm3 0.3485 0.3485 0.4271
Pm4 0.6515 0.6515 0.5729
Pm5 0.6637 0.6637 0.0848
Pm6 0.9992 0.9992 0.7191
As1 0.1666 0.1666 0.8329
As2 0.8334 0.8334 0.1671
C1 0.5000 0.5000 0.5000
S1 0.1680 0.1680 0.3349
S2 0.5000 0.5000 0.0000
S3 0.8320 0.8320 0.6651

Entry from the Alexandria database: an optimized crystal structure of Pm2Er2S3 (GGA-PBE).

Summary:
Formation energy from raw total energies, kcal/mol of atoms: -39.384
Volume, Å³ per cell: 168.3

a b c (Å): 3.8624 6.7325 6.8434
angles (deg): 98.87 90.01 106.61
Positions (direct):
Pm1 0.1251 0.2476 0.3826
Pm2 0.8749 0.7524 0.6174
Er1 0.3723 0.7450 0.1153
Er2 0.6277 0.2550 0.8847
S1 0.0000 0.0000 0.0000
S2 0.2494 0.4990 0.7623
S3 0.7506 0.5010 0.2377

Entry from the Alexandria database: an optimized crystal structure of NaCa2CdTe (GGA-PBE).

Summary:
Formation energy from raw total energies, kcal/mol of atoms: -0.632
Volume, Å³ per cell: 206.3

a b c (Å): 5.8631 5.8631 6.0001
angles (deg): 90.00 90.00 90.00
Positions (direct):
Na1 0.0000 0.0000 0.0000
Ca1 0.0000 0.5000 0.5000
Ca2 0.5000 0.0000 0.5000
Cd1 0.5000 0.5000 0.5000
Te1 0.5000 0.5000 0.0000